# Ac6AsP2Se3 | Alexandria | PBE-GGA | optimized geometry
# Calculated density = 7.6 Mg/m³
# Energy relative to the elements, uncorrected = -1.74 eV per atom
# Total magnetization = 0.0 μB/f.u.
# Total DFT energy (no corrections) = -0.4380 Ry per atom
data_Ac6AsP2Se3
_chemical_formula_sum 'Ac12 As2 P4 Se6'
_symmetry_space_group_name_H-M 'C 1 2/m 1'
_symmetry_Int_Tables_number 12
_symmetry_space_group_name_Hall '-C 2y'
_cell_length_a 7.739
_cell_length_b 13.388
_cell_length_c 7.791
_cell_angle_alpha 90.00
_cell_angle_beta 109.35
_cell_angle_gamma 90.00
loop_
_atom_site_label
_atom_site_type_symbol
_atom_site_fract_x
_atom_site_fract_y
_atom_site_fract_z
_atom_site_occupancy
Ac1 Ac 0.240 0.000 0.235 1
Ac2 Ac 0.248 0.331 0.235 1
As1 As 0.000 0.500 0.000 1
P1 P 0.000 0.167 0.000 1
Se1 Se 0.000 0.000 0.500 1
Se2 Se 0.000 0.335 0.500 1